# 1
LaEu2Tm: relaxed, PBE.

Summary:
crystal system = cubic

Lattice parameters (Å, degrees): 5.925 5.925 5.925 60.00 60.00 60.00
Atoms (fractional coordinates):
Tm: 0.000 0.000 0.000
Eu: 0.250 0.250 0.250
Eu: 0.750 0.750 0.750
La: 0.500 0.500 0.500



# 2
TbGa5Ni2Ru: relaxed, PBE.

Summary:
crystal system = tetragonal

Lattice parameters (Å, degrees): 4.606 4.606 7.028 90.00 90.00 90.00
Atoms (fractional coordinates):
Ga: 0.500 0.000 0.805
Ga: 0.000 0.500 0.195
Ga: 0.500 0.000 0.195
Ga: 0.000 0.500 0.805
Ga: 0.500 0.500 0.500
Ni: 0.500 0.500 0.172
Ni: 0.500 0.500 0.828
Ru: 0.000 0.000 0.000
Tb: 0.000 0.000 0.500



# 3
MgHgBRh2: relaxed, PBE.

Summary:
crystal system = tetragonal

Lattice parameters (Å, degrees): 4.130 4.130 4.423 90.00 90.00 90.00
Atoms (fractional coordinates):
Mg: 0.000 0.000 0.500
Rh: 0.500 0.000 0.000
Rh: 0.000 0.500 0.000
Hg: 0.500 0.500 0.500
B: 0.000 0.000 0.000



no.,ΔH_f (0 K) (kJ/mol of atoms),raw total energy (eV/f.u.)
1,15,-29.3
2,-23,-42.7
3,-20,-24.3